Record 1
## KAgMo (PBE)

Data for a relaxed structure of KAgMo.

calculated density = 4.91 g/cm³
energy above the lowest structure with this stoichiometry = 542 meV/atom
magnetization = 1.04 μB/atom
final energy = -3.721 eV/atom
calculated formation energy = 3.6 eV/f.u.

Cell lengths 6.8973, 6.8973, 6.8973 Å; angles 149.92, 149.92, 43.06 degrees
Closest atoms and distances in Å follow each position.
Fractional coordinates of all 3 atoms:
Ag 0.0394 0.0394 0.0000  4 Mo 2.74
K 0.3397 0.3397 0.0000  4 K 3.58, 5 Ag 3.60-3.85, 5 Mo 3.61-3.78
Mo 0.6208 0.6208 0.0000  4 Ag 2.74

---

Record 2
## CoSi2Pb (PBE)

Data for a relaxed structure of CoSi2Pb.

calculated density = 7.10 g/cm³
raw formation energy = 0.203 eV/atom
magnetization = 0.00 μB/atom
final energy = -5.212 eV/atom

Cell lengths 3.9313, 4.5518, 4.4713 Å; angles 70.38, 90.00, 90.00 degrees
Closest atoms and distances in Å follow each position.
Fractional coordinates of all 4 atoms:
Co 0.5000 0.2500 0.2500  4 Si 2.31
Pb 0.5000 0.7500 0.7500  2 Co 2.60
Si 0.0000 0.0330 0.1526  2 Co 2.31, 2 Si 2.41-2.43
Si 0.0000 0.4670 0.3474  2 Co 2.31, 2 Si 2.41-2.43

---

Record 3
## Sm3HoS4 (PBE)

Data for a relaxed structure of Sm3HoS4.

calculated density = 6.93 g/cm³
raw formation energy = -1.992 eV/atom
energy above the lowest structure with this stoichiometry = 28 meV/atom
magnetization = 0.00 μB/atom
final energy = -6.397 eV/atom

Cell lengths 5.6293, 5.6293, 5.6293 Å; angles 90.00, 90.00, 90.00 degrees
Closest atoms and distances in Å follow each position.
Fractional coordinates of all 8 atoms:
Sm 0.0000 0.5000 0.5000  6 S 2.81
Sm 0.5000 0.0000 0.5000  6 S 2.81
Sm 0.5000 0.5000 0.0000  6 S 2.81
Ho 0.0000 0.0000 0.0000  6 S 2.81
S 0.5000 0.0000 0.0000  4 Sm 2.81, 2 Ho 2.81
S 0.0000 0.5000 0.0000  2 Ho 2.81, 4 Sm 2.81
S 0.0000 0.0000 0.5000  4 Sm 2.81, 2 Ho 2.81
S 0.5000 0.5000 0.5000  6 Sm 2.81

---

Record 4
## YHgSb2Br (PBE)

Data for a relaxed structure of YHgSb2Br.

calculated density = 6.08 g/cm³
raw formation energy = 0.384 eV/atom
magnetization = 0.00 μB/atom
final energy = -2.952 eV/atom

Cell lengths 5.4575, 5.6206, 5.4575 Å; angles 90.00, 90.00, 90.00 degrees
Closest atoms and distances in Å follow each position.
Fractional coordinates of all 5 atoms:
Y 0.5000 0.5000 0.5000  4 Hg 3.86, 8 Sb 3.92
Sb 0.0000 0.0000 0.5000  2 Br 2.73
Sb 0.5000 0.0000 0.0000  2 Br 2.73
Hg 0.0000 0.5000 0.0000  2 Br 2.81
Br 0.0000 0.0000 0.0000  4 Sb 2.73, 2 Hg 2.81

---

Record 5
## InOsPt2Br (PBE)

Data for a relaxed structure of InOsPt2Br.

calculated density = 10.46 g/cm³
raw formation energy = 0.855 eV/atom
magnetization = 0.00 μB/atom
final energy = -4.690 eV/atom

Cell lengths 4.8960, 5.1334, 4.8960 Å; angles 90.00, 90.00, 90.00 degrees
Closest atoms and distances in Å follow each position.
Fractional coordinates of all 5 atoms:
Os 0.0000 0.0000 0.0000  4 Pt 2.45, 2 Br 2.57
Br 0.0000 0.5000 0.0000  2 Os 2.57
Pt 0.0000 0.0000 0.5000  2 Os 2.45
Pt 0.5000 0.0000 0.0000  2 Os 2.45
In 0.5000 0.5000 0.5000  4 Br 3.46, 8 Pt 3.55

---

Record 6
## ScNi2Hg (PBE)

Data for a relaxed structure of ScNi2Hg.

calculated density = 9.77 g/cm³
magnetization = 0.00 μB/atom
final energy = -4.805 eV/atom
calculated formation energy = -1.0 eV/f.u.

Cell lengths 5.0421, 5.0421, 5.0421 Å; angles 135.70, 135.70, 64.44 degrees
Closest atoms and distances in Å follow each position.
Fractional coordinates of all 4 atoms:
Hg 0.7500 0.2500 0.5000  8 Ni 2.69-2.86, 4 Sc 2.86
Ni 0.0000 0.0000 0.0000  4 Sc 2.69, 4 Ni 2.86, 4 Hg 2.86
Ni 0.2500 0.7500 0.5000  4 Hg 2.69, 4 Ni 2.86, 4 Sc 2.86
Sc 0.5000 0.5000 0.0000  8 Ni 2.69-2.86, 4 Hg 2.86

---

Record 7
## La2BeCuN (PBE)

Data for a relaxed structure of La2BeCuN.

calculated density = 6.40 g/cm³
raw formation energy = -0.498 eV/atom
energy above the lowest structure with this stoichiometry = 0 meV/atom
magnetization = 0.00 μB/atom
final energy = -5.699 eV/atom

Cell lengths 5.2949, 5.2949, 3.3703 Å; angles 90.00, 90.00, 90.00 degrees
Closest atoms and distances in Å follow each position.
Fractional coordinates of all 5 atoms:
Be 0.0000 0.0000 0.5000  2 N 1.69
N 0.0000 0.0000 0.0000  2 Be 1.69
Cu 0.5000 0.5000 0.5000  8 La 3.14, 2 Cu 3.37
La 0.0000 0.5000 0.0000  2 N 2.65
La 0.5000 0.0000 0.0000  2 N 2.65

---

Record 8
## Ca2La2Cd3 (PBE)

Data for a relaxed structure of Ca2La2Cd3.

calculated density = 5.11 g/cm³
magnetization = 0.00 μB/atom
final energy = -2.576 eV/atom
calculated formation energy = -1.4 eV/f.u.

Cell lengths 5.4250, 5.4294, 9.3975 Å; angles 90.02, 106.75, 120.01 degrees
Closest atoms and distances in Å follow each position.
Fractional coordinates of all 7 atoms:
Ca 0.7520 0.3762 0.1285  7 Cd 3.30-3.34
Ca 0.2480 0.6238 0.8715  7 Cd 3.30-3.34
La 0.2513 0.1262 0.3784  5 Cd 3.34-3.35
La 0.7487 0.8738 0.6216  5 Cd 3.34-3.35
Cd 0.0000 0.0000 0.0000  6 Ca 3.33-3.34, 2 La 3.35
Cd 0.5037 0.2513 0.7550  4 Ca 3.30-3.31, 4 La 3.34-3.35
Cd 0.4963 0.7487 0.2450  4 Ca 3.30-3.31, 4 La 3.34-3.35

---

Look up the calculated density of the first one.
4.91 g/cm³

---

Which of these has the highest final energy?
Ca2La2Cd3

---

What is the formula in the first record?
KAgMo